[1]
DFT (PBE) results for a relaxed SrPrO3 crystal.

Summary:
electronic total energy = -6.8490 eV per atom
formation energy from raw total energies = -2.582 eV/atom

Unit cell a=6.3955 b=8.8834 c=6.1820 alpha=90.00 beta=90.00 gamma=90.00
Space group Pnma (No. 62)
Unique sites:
Sr 0.0531 0.2500 0.0224 x4
Pr 0.0000 0.0000 0.5000 x4
O 0.0650 0.7500 0.3684 x4
O 0.2042 0.5725 0.7969 x8



[2]
DFT (PBE) results for a relaxed MnSn2Sb4 crystal.

Summary:
electronic total energy = -4.4916 eV per atom
formation energy from raw total energies = 0.318 eV/atom

Unit cell a=4.7937 b=4.7937 c=17.3153 alpha=90.00 beta=90.00 gamma=90.00
Space group I4/mmm (No. 139)
Unique sites:
Mn 0.0000 0.0000 0.0000 x2
Sn 0.0000 0.0000 0.3339 x4
Sb 0.0000 0.0000 0.1589 x4
Sb 0.0000 0.5000 0.0000 x4



[3]
DFT (PBE) results for a relaxed MgCuN2 crystal.

Summary:
electronic total energy = -4.8369 eV per atom
formation energy from raw total energies = 0.748 eV/atom

Unit cell a=3.1363 b=3.1363 c=18.0738 alpha=90.00 beta=90.00 gamma=120.00
Space group R-3m (No. 166, hexagonal axes)
Unique sites:
Mg 0.0000 0.0000 0.0000 x3
Cu 0.0000 0.0000 0.5000 x3
N 0.0000 0.0000 0.4009 x6



[4]
DFT (PBE) results for a relaxed Mn5Pt3 crystal.

Summary:
excess energy over the best structure of this formula in the dataset = 0.00 kcal/mol of atoms
formation enthalpy at 0 K = -267 meV/atom
electronic total energy = -8.2631 eV per atom

Unit cell a=7.4188 b=7.9049 c=3.9436 alpha=90.00 beta=90.00 gamma=90.00
Space group Cmmm (No. 65)
Unique sites:
Mn 0.0000 0.0000 0.0000 x2
Mn 0.2459 0.5000 0.5000 x4
Mn 0.2500 0.2500 0.0000 x4
Pt 0.0000 0.2379 0.5000 x4
Pt 0.0000 0.5000 0.0000 x2